Density functional theory data (PBE) for crystalline HfTiB2 at its relaxed geometry.

a = 5.8028 Å, b = 5.8028 Å, c = 5.8028 Å
α = 90.00°, β = 90.00°, γ = 90.00°
With the nearest neighbours (Å) after each atom.
Space group Fm-3m (No. 225)
Inequivalent atoms, fractional coordinates:
Hf1 0.0000 0.0000 0.0000 (multiplicity 4)  8 B 2.51
Ti1 0.0000 0.0000 0.5000 (multiplicity 4)  8 B 2.51
B1 0.2500 0.2500 0.2500 (multiplicity 8)  4 Hf 2.51, 4 Ti 2.51

Calculated values
Polymorph energy (0 for the lowest one) = 0.746 eV/atom
Size of the total moment = 0.00 μB/f.u.
Energy relative to the elements = 0.098 eV per atom
D(E_F) = 29.59 states/eV per cell

Density functional theory data (PBE) for crystalline P3PbF at its relaxed geometry.

a = 4.5634 Å, b = 4.5634 Å, c = 4.5634 Å
α = 90.00°, β = 90.00°, γ = 90.00°
With the nearest neighbours (Å) after each atom.
Space group Pm-3m (No. 221)
Inequivalent atoms, fractional coordinates:
P1 0.0000 0.0000 0.5000 (multiplicity 3)  2 F 2.28
Pb1 0.5000 0.5000 0.5000 (multiplicity 1)  12 P 3.23
F1 0.0000 0.0000 0.0000 (multiplicity 1)  6 P 2.28

Calculated values
Polymorph energy (0 for the lowest one) = 0.000 eV/atom
Size of the total moment = 0.00 μB/f.u.
D(E_F) = 3.03 states/eV per cell

Density functional theory data (PBE) for crystalline ZnBI2 at its relaxed geometry.

a = 7.7486 Å, b = 7.7486 Å, c = 10.9714 Å
α = 90.00°, β = 90.00°, γ = 90.00°
With the nearest neighbours (Å) after each atom.
Space group I-42d (No. 122)
Inequivalent atoms, fractional coordinates:
Zn1 0.0000 0.0000 0.0000 (multiplicity 4)  12 I 4.40-4.69, 4 B 4.75, 4 Zn 4.75
B1 0.0000 0.0000 0.5000 (multiplicity 4)  4 I 2.38
I1 0.0217 0.2500 0.6250 (multiplicity 8)  2 B 2.38

Calculated values
Polymorph energy (0 for the lowest one) = 0.000 eV/atom
Size of the total moment = 0.00 μB/f.u.
D(E_F) = 0.14 states/eV per cell

Density functional theory data (PBE) for crystalline Rb2CdRhS at its relaxed geometry.

a = 6.6024 Å, b = 6.6024 Å, c = 4.3515 Å
α = 90.00°, β = 90.00°, γ = 90.00°
With the nearest neighbours (Å) after each atom.
Space group P4/mmm (No. 123)
Inequivalent atoms, fractional coordinates:
Rb1 0.0000 0.5000 0.0000 (multiplicity 2)  2 Rh 3.30
Cd1 0.0000 0.0000 0.5000 (multiplicity 1)  8 Rb 3.95, 2 Cd 4.35
Rh1 0.5000 0.5000 0.0000 (multiplicity 1)  2 S 2.18
S1 0.5000 0.5000 0.5000 (multiplicity 1)  2 Rh 2.18

Calculated values
Size of the total moment = 0.00 μB/f.u.
Electronic total energy = -15.306 eV for the cell shown
D(E_F) = 2.61 states/eV per cell

Density functional theory data (PBE) for crystalline NaTaMoAu2 at its relaxed geometry.

a = 5.0784 Å, b = 5.0784 Å, c = 5.4045 Å
α = 90.00°, β = 90.00°, γ = 90.00°
With the nearest neighbours (Å) after each atom.
Space group P4/mmm (No. 123)
Inequivalent atoms, fractional coordinates:
Na1 0.0000 0.0000 0.0000 (multiplicity 1)  2 Ta 2.70
Ta1 0.0000 0.0000 0.5000 (multiplicity 1)  4 Au 2.54, 2 Na 2.70
Mo1 0.5000 0.5000 0.0000 (multiplicity 1)  4 Na 3.59, 8 Au 3.71
Au1 0.0000 0.5000 0.5000 (multiplicity 2)  2 Ta 2.54

Calculated values
Size of the total moment = 5.38 μB/f.u.
Energy relative to the elements = 1.744 eV per atom
D(E_F) = 3.43 states/eV per cell

Density functional theory data (PBE) for crystalline Tb2NdTeO8 at its relaxed geometry.

a = 7.1177 Å, b = 7.1862 Å, c = 7.0547 Å
α = 90.00°, β = 90.00°, γ = 90.00°
With the nearest neighbours (Å) after each atom.
Space group Cmmm (No. 65)
Inequivalent atoms, fractional coordinates:
Tb1 0.0000 0.0000 0.2410 (multiplicity 4)  6 O 2.24-2.34
Nd1 0.0000 0.5000 0.5000 (multiplicity 2)  6 O 2.27-2.46
Te1 0.0000 0.5000 0.0000 (multiplicity 2)  6 O 1.96
O1 0.0000 0.3167 0.2053 (multiplicity 8)  1 Te 1.96
O2 0.1815 0.0000 0.5000 (multiplicity 4)  2 Tb 2.24, 1 Nd 2.27
O3 0.2252 0.0000 0.0000 (multiplicity 4)  1 Te 1.96

Calculated values
Size of the total moment = 0.92 μB/f.u.
Electronic total energy = -172.950 eV for the cell shown
D(E_F) = 10.43 states/eV per cell